AcGaReO6 | GGA-PBE | optimized geometry

Lattice parameters (Å, degrees): 5.2636 5.2636 10.6464 90.00 90.00 120.00
Fractional positions:
Ac 0.0000 0.0000 0.0000
Ac 0.0000 0.0000 0.5000
Ga 0.3333 0.6667 0.2500
Ga 0.6667 0.3333 0.7500
Re 0.3333 0.6667 0.7500
Re 0.6667 0.3333 0.2500
O 0.0098 0.3859 0.6472
O 0.0098 0.6240 0.8528
O 0.3760 0.3859 0.8528
O 0.3760 0.9902 0.6472
O 0.3859 0.0098 0.1472
O 0.3859 0.3760 0.3528
O 0.6141 0.6240 0.6472
O 0.6141 0.9902 0.8528
O 0.6240 0.0098 0.3528
O 0.6240 0.6141 0.1472
O 0.9902 0.3760 0.1472
O 0.9902 0.6141 0.3528

Output
Symmetry ... P-31c, No. 163
Formation energy from raw total energies ... -1889 kJ/mol of formula units
DOS(E_F) ... 2.81 states/eV/f.u.
Total moment ... 1.00 μB/f.u.